Entry 1:
Entry from Alexandria via LeMat-Bulk: an optimized crystal structure of CsPtO3 (PBE).

a b c (Å): 5.5428 6.4555 6.4556
angles (deg): 120.06 90.00 90.00
Element x y z (fractional)
Cs (0.7500, 0.6668, 0.3332)
Cs (0.2500, 0.3332, 0.6668)
Pt (0.0000, 0.0000, 0.0000)
Pt (0.5000, 0.0000, 0.0000)
O (0.7500, 0.7374, 0.8686)
O (0.2500, 0.8686, 0.7374)
O (0.2500, 0.2626, 0.1314)
O (0.7500, 0.1314, 0.2626)
O (0.2500, 0.8688, 0.1312)
O (0.7500, 0.1312, 0.8688)

Formation energy from raw total energies in eV/f.u.: -4.29
N(E_F) in states/eV per cell: 3.7
Density in g cm⁻³: 6.25
VASP energy in eV per atom: -5.21

***

Entry 2:
Entry from Alexandria via LeMat-Bulk: an optimized crystal structure of Sm5ScHg4 (PBE).

a b c (Å): 3.7522 3.7522 19.7248
angles (deg): 90.00 90.00 90.00
Element x y z (fractional)
Sm (0.5000, 0.5000, 0.1085)
Sm (0.5000, 0.5000, 0.3052)
Sm (0.5000, 0.5000, 0.5000)
Sm (0.5000, 0.5000, 0.6948)
Sm (0.5000, 0.5000, 0.8915)
Sc (0.0000, 0.0000, 0.0000)
Hg (0.0000, 0.0000, 0.2038)
Hg (0.0000, 0.0000, 0.4026)
Hg (0.0000, 0.0000, 0.5974)
Hg (0.0000, 0.0000, 0.7962)

N(E_F) in states/eV per cell: 12.8
Calculated formation energy in eV per atom: -0.36
Density in g cm⁻³: 9.56
VASP energy in eV per atom: -3.47

***

Entry 3:
Entry from Alexandria via LeMat-Bulk: an optimized crystal structure of Nb2CuO5 (PBE).

a b c (Å): 3.9207 5.4534 10.8148
angles (deg): 90.00 90.00 111.07
Element x y z (fractional)
Nb (0.8616, 0.7233, 0.4262)
Nb (0.8616, 0.7233, 0.0738)
Nb (0.1384, 0.2767, 0.5738)
Nb (0.1384, 0.2767, 0.9262)
Cu (0.8379, 0.6758, 0.7500)
Cu (0.1621, 0.3242, 0.2500)
O (0.9570, 0.9139, 0.8897)
O (0.9570, 0.9139, 0.6103)
O (0.3145, 0.6290, 0.4492)
O (0.3145, 0.6290, 0.0508)
O (0.8032, 0.6065, 0.2500)
O (0.1968, 0.3935, 0.7500)
O (0.6855, 0.3710, 0.5508)
O (0.6855, 0.3710, 0.9492)
O (0.0430, 0.0861, 0.1103)
O (0.0430, 0.0861, 0.3897)

Formation energy from raw total energies in eV/f.u.: -16.14
N(E_F) in states/eV per cell: 2.6
Density in g cm⁻³: 5.07
VASP energy in eV per atom: -8.15